Here is Pu5Ge2P2 after structural relaxation from Alexandria. Energies are from PBE-GGA.

SG: Cmce (64)
Total energy, eV for the cell shown: -195.25
V, Å³ per cell: 420.6

a = 7.632 Å, b = 7.524 Å, c = 8.234 Å
α = 117.19°, β = 90.00°, γ = 90.00°
Atoms (fractional coordinates):
Ge1 0.000 0.202 0.405
Ge2 0.500 0.702 0.405
Ge3 0.500 0.298 0.595
Ge4 0.000 0.798 0.595
Pu1 0.341 0.973 0.264
Pu2 0.000 0.000 0.000
Pu3 0.659 0.291 0.264
Pu4 0.841 0.527 0.736
Pu5 0.159 0.473 0.264
Pu6 0.841 0.791 0.264
Pu7 0.159 0.209 0.736
Pu8 0.659 0.027 0.736
Pu9 0.341 0.709 0.736
Pu10 0.500 0.500 0.000
P1 0.854 0.355 0.000
P2 0.354 0.145 0.000
P3 0.646 0.855 0.000
P4 0.146 0.645 0.000

=====

Here is DyUFe2 after structural relaxation from Alexandria. Energies are from PBE-GGA.

SG: Pnma (62)
E above lowest polymorph, meV per atom: 0
Total energy, eV for the cell shown: -133.76
V, Å³ per cell: 293.3

a = 4.845 Å, b = 6.405 Å, c = 9.451 Å
α = 90.00°, β = 90.00°, γ = 90.00°
Atoms (fractional coordinates):
Fe1 0.250 0.386 0.348
Fe2 0.750 0.227 0.460
Fe3 0.250 0.886 0.152
Fe4 0.250 0.273 0.960
Fe5 0.250 0.773 0.540
Fe6 0.750 0.114 0.848
Fe7 0.750 0.614 0.652
Fe8 0.750 0.727 0.040
U1 0.750 0.021 0.632
U2 0.750 0.521 0.868
U3 0.250 0.479 0.132
U4 0.250 0.979 0.368
Dy1 0.250 0.855 0.854
Dy2 0.750 0.145 0.146
Dy3 0.250 0.355 0.646
Dy4 0.750 0.645 0.354

=====

Here is EuEr2Ir after structural relaxation from Alexandria. Energies are from PBE-GGA.

SG: R-3m (166)
E above lowest polymorph, meV per atom: 17
Total energy, eV for the cell shown: -29.95
V, Å³ per cell: 130.9

a = 4.046 Å, b = 4.046 Å, c = 9.523 Å
α = 77.74°, β = 77.74°, γ = 60.00°
Atoms (fractional coordinates):
Ir1 0.000 0.000 0.000
Er1 0.282 0.282 0.154
Er2 0.718 0.718 0.846
Eu1 0.500 0.500 0.500

=====

Here is Zr4AlFe8 after structural relaxation from Alexandria. Energies are from PBE-GGA.

SG: I4/mmm (139)
Total energy, eV for the cell shown: -103.27
V, Å³ per cell: 212.2

a = 6.520 Å, b = 6.520 Å, c = 6.520 Å
α = 112.00°, β = 112.00°, γ = 104.53°
Atoms (fractional coordinates):
Zr1 0.000 0.000 0.500
Zr2 0.500 0.000 0.000
Zr3 0.500 0.500 0.500
Zr4 0.000 0.500 0.000
Fe1 0.274 0.500 0.774
Fe2 0.000 0.334 0.334
Fe3 0.000 0.666 0.666
Fe4 0.334 0.000 0.334
Fe5 0.666 0.000 0.666
Fe6 0.500 0.274 0.774
Fe7 0.726 0.500 0.226
Fe8 0.500 0.726 0.226
Al1 0.000 0.000 0.000